[1]
Density functional theory data (PBE-GGA) for a relaxed structure of RePtCl3.

Cell lengths 4.7805, 4.7805, 4.7805 Å; angles 90.00, 90.00, 90.00 degrees
Atoms (fractional coordinates):
Re1 0.0000 0.0000 0.0000
Pt1 0.5000 0.5000 0.5000
Cl1 0.0000 0.0000 0.5000
Cl2 0.0000 0.5000 0.0000
Cl3 0.5000 0.0000 0.0000

Crystal system: cubic
Mass density (g cm⁻³): 7.41
Polymorph energy (0 for the lowest one) (meV per atom): 0
Formation energy (no corrections) (meV per atom): 892
Total magnetization (μB/cell): 3.0

---

[2]
Density functional theory data (PBE-GGA) for a relaxed structure of DyHo3Cd4.

Cell lengths 10.5139, 7.5221, 5.2565 Å; angles 90.00, 90.00, 90.00 degrees
Atoms (fractional coordinates):
Dy1 0.0000 0.0000 0.0000
Dy2 0.5000 0.0000 0.0000
Ho1 0.0000 0.5000 0.0000
Ho2 0.2500 0.0000 0.4990
Ho3 0.2500 0.5000 0.4990
Ho4 0.5000 0.5000 0.0000
Ho5 0.7500 0.0000 0.5010
Ho6 0.7500 0.5000 0.5010
Cd1 0.0000 0.2509 0.5000
Cd2 0.0000 0.7491 0.5000
Cd3 0.2500 0.2509 0.9988
Cd4 0.2500 0.7491 0.9988
Cd5 0.5000 0.2509 0.5000
Cd6 0.5000 0.7491 0.5000
Cd7 0.7500 0.2509 0.0012
Cd8 0.7500 0.7491 0.0012

Crystal system: orthorhombic
Mass density (g cm⁻³): 8.84
VASP energy (eV per atom): -3.068
Total magnetization (μB/cell): 0.0

---

[3]
Density functional theory data (PBE-GGA) for a relaxed structure of Pm3P.

Cell lengths 4.6771, 4.6771, 4.6771 Å; angles 90.00, 90.00, 90.00 degrees
Atoms (fractional coordinates):
Pm1 0.0000 0.0000 0.5000
Pm2 0.0000 0.5000 0.0000
Pm3 0.5000 0.0000 0.0000
P1 0.5000 0.5000 0.5000

Crystal system: cubic
Mass density (g cm⁻³): 7.56
Polymorph energy (0 for the lowest one) (meV per atom): 190
Total magnetization (μB/cell): 0.0

---

[4]
Density functional theory data (PBE-GGA) for a relaxed structure of Ca4TbPb5.

Cell lengths 3.5970, 3.5970, 22.9679 Å; angles 90.00, 90.00, 90.00 degrees
Atoms (fractional coordinates):
Ca1 0.0000 0.0000 0.1010
Ca2 0.0000 0.0000 0.3005
Ca3 0.0000 0.0000 0.6995
Ca4 0.0000 0.0000 0.8990
Tb1 0.0000 0.0000 0.5000
Pb1 0.5000 0.5000 0.0000
Pb2 0.5000 0.5000 0.2013
Pb3 0.5000 0.5000 0.4026
Pb4 0.5000 0.5000 0.5974
Pb5 0.5000 0.5000 0.7987

Crystal system: tetragonal
Mass density (g cm⁻³): 7.57
VASP energy (eV per atom): -3.619
Total magnetization (μB/cell): 0.0

---

[5]
Density functional theory data (PBE-GGA) for a relaxed structure of Tb2TcOs.

Cell lengths 3.1535, 3.1535, 29.5571 Å; angles 90.00, 90.00, 120.00 degrees
Atoms (fractional coordinates):
Tb1 0.0000 0.0000 0.0925
Tb2 0.0000 0.0000 0.9075
Tb3 0.3333 0.6667 0.5742
Tb4 0.3333 0.6667 0.7591
Tb5 0.6667 0.3333 0.2409
Tb6 0.6667 0.3333 0.4258
Tc1 0.0000 0.0000 0.0000
Tc2 0.3333 0.6667 0.6667
Tc3 0.6667 0.3333 0.3333
Os1 0.0000 0.0000 0.5000
Os2 0.3333 0.6667 0.1667
Os3 0.6667 0.3333 0.8333

Crystal system: trigonal
Mass density (g cm⁻³): 11.86
VASP energy (eV per atom): -6.972
Total magnetization (μB/cell): 1.0

---

[6]
Density functional theory data (PBE-GGA) for a relaxed structure of Sm2Al4SnPt3.

Cell lengths 4.2930, 4.2930, 10.7591 Å; angles 90.00, 90.00, 90.00 degrees
Atoms (fractional coordinates):
Sm1 0.0000 0.5000 0.2398
Sm2 0.5000 0.0000 0.7602
Al1 0.0000 0.0000 0.0000
Al2 0.0000 0.5000 0.6504
Al3 0.5000 0.0000 0.3496
Al4 0.5000 0.5000 0.0000
Sn1 0.0000 0.0000 0.5000
Pt1 0.0000 0.5000 0.8752
Pt2 0.5000 0.0000 0.1248
Pt3 0.5000 0.5000 0.5000

Crystal system: tetragonal
Mass density (g cm⁻³): 9.32
VASP energy (eV per atom): -5.606
Total magnetization (μB/cell): 0.0

---

[7]
Density functional theory data (PBE-GGA) for a relaxed structure of Tb3Be2GePd9.

Cell lengths 5.9057, 5.9057, 8.8861 Å; angles 90.00, 90.00, 120.00 degrees
Atoms (fractional coordinates):
Tb1 0.0000 0.0000 0.0000
Tb2 0.3333 0.6667 0.6644
Tb3 0.6667 0.3333 0.3356
Be1 0.3333 0.6667 0.1511
Be2 0.6667 0.3333 0.8489
Ge1 0.0000 0.0000 0.5000
Pd1 0.0000 0.5000 0.0000
Pd2 0.1622 0.3245 0.2916
Pd3 0.1622 0.8378 0.2916
Pd4 0.3245 0.1622 0.7084
Pd5 0.5000 0.0000 0.0000
Pd6 0.5000 0.5000 0.0000
Pd7 0.6755 0.8378 0.2916
Pd8 0.8378 0.1622 0.7084
Pd9 0.8378 0.6755 0.7084

Crystal system: trigonal
Mass density (g cm⁻³): 9.44
VASP energy (eV per atom): -5.513
Total magnetization (μB/cell): 0.0

---

[8]
Density functional theory data (PBE-GGA) for a relaxed structure of Ba2FeW.

Cell lengths 7.6018, 7.6018, 7.6018 Å; angles 90.00, 90.00, 90.00 degrees
Atoms (fractional coordinates):
Ba1 0.0000 0.0000 0.0000
Ba2 0.0000 0.5000 0.5000
Ba3 0.2500 0.2500 0.2500
Ba4 0.2500 0.7500 0.7500
Ba5 0.5000 0.0000 0.5000
Ba6 0.5000 0.5000 0.0000
Ba7 0.7500 0.2500 0.7500
Ba8 0.7500 0.7500 0.2500
Fe1 0.0000 0.0000 0.5000
Fe2 0.0000 0.5000 0.0000
Fe3 0.5000 0.0000 0.0000
Fe4 0.5000 0.5000 0.5000
W1 0.2500 0.2500 0.7500
W2 0.2500 0.7500 0.2500
W3 0.7500 0.2500 0.2500
W4 0.7500 0.7500 0.7500

Crystal system: cubic
Mass density (g cm⁻³): 7.78
Polymorph energy (0 for the lowest one) (meV per atom): 947
Total magnetization (μB/cell): 0.7